1.
# HoThIn2 GGA-PBE relaxed
data_HoThIn2
_cell_length_a 3.537
_cell_length_b 3.537
_cell_length_c 8.776
_cell_angle_alpha 90.00
_cell_angle_beta 90.00
_cell_angle_gamma 90.00
_symmetry_space_group_name_H-M 'P 4/m m m'
_symmetry_Int_Tables_number 123
_symmetry_space_group_name_Hall '-P 4 2'
loop_
_atom_site_label
_atom_site_type_symbol
_atom_site_fract_x
_atom_site_fract_y
_atom_site_fract_z
Ho1 Ho 0.000 0.000 0.000
Th1 Th 0.000 0.000 0.500
In1 In 0.500 0.500 0.239
# Magnetic moment in μB/f.u.: 0.000
# E_form in meV per atom: -368



2.
# Ho4ThIn2 GGA-PBE relaxed
data_Ho4ThIn2
_cell_length_a 8.638
_cell_length_b 10.286
_cell_length_c 4.831
_cell_angle_alpha 90.00
_cell_angle_beta 90.00
_cell_angle_gamma 90.00
_symmetry_space_group_name_H-M 'C m m m'
_symmetry_Int_Tables_number 65
_symmetry_space_group_name_Hall '-C 2 2'
loop_
_atom_site_label
_atom_site_type_symbol
_atom_site_fract_x
_atom_site_fract_y
_atom_site_fract_z
Ho1 Ho 0.207 0.000 0.000
Ho2 Ho 0.250 0.250 0.500
Th1 Th 0.000 0.500 0.500
In1 In 0.000 0.274 0.000
# E above lowest polymorph in eV/atom: 0.0000
# Magnetic moment in μB/f.u.: 0.000
# E_form in meV per atom: -113



3.
# Ho2ThIn GGA-PBE relaxed
data_Ho2ThIn
_cell_length_a 3.5516
_cell_length_b 3.5516
_cell_length_c 32.8271
_cell_angle_alpha 90.00
_cell_angle_beta 90.00
_cell_angle_gamma 120.00
_symmetry_space_group_name_H-M 'R 3 m'
_symmetry_Int_Tables_number 160
_symmetry_space_group_name_Hall 'R 3 -2"'
loop_
_atom_site_label
_atom_site_type_symbol
_atom_site_fract_x
_atom_site_fract_y
_atom_site_fract_z
Ho1 Ho 0.0000 0.0000 0.0000
Ho2 Ho 0.0000 0.0000 0.1778
Th1 Th 0.0000 0.0000 0.4223
In1 In 0.0000 0.0000 0.5886
# E above lowest polymorph in eV/atom: 0.1270
# Magnetic moment in μB/f.u.: 0.000
# E_form in meV per atom: -119



Q: magnetic moment of number 2 (Ho4ThIn2)?
A: 0.000 μB/f.u.